# 1
# Na2HgTeS

A relaxed Na2HgTeS crystal (GGA-PBE, the Alexandria database).

CIF file:
```
data_Na2HgTeS
_chemical_formula_sum 'Na2 Hg1 Te1 S1'
_cell_length_a 5.231
_cell_length_b 5.231
_cell_length_c 5.098
_cell_angle_alpha 90.00
_cell_angle_beta 90.00
_cell_angle_gamma 90.00
_space_group_name_H-M_alt 'P 1'
_space_group_IT_number 1
loop_
_space_group_symop_operation_xyz
'x,y,z'
loop_
_atom_site_label
_atom_site_fract_x
_atom_site_fract_y
_atom_site_fract_z
_atom_site_occupancy
Na1 0.000 0.500 0.000 1
Hg1 0.000 0.000 0.500 1
S1 0.000 0.000 0.000 1
Te1 0.500 0.500 0.500 1
Na2 0.500 0.000 0.000 1
```

Results
crystal system: tetragonal
magnetic moment: 0.0 μB/cell
E_form (uncorrected): -0.52 eV/atom
final energy: -12.8 eV/cell

# 2
# ZnCr2Ru

A relaxed ZnCr2Ru crystal (GGA-PBE, the Alexandria database).

CIF file:
```
data_ZnCr2Ru
_chemical_formula_sum 'Zn1 Cr2 Ru1'
_cell_length_a 4.615
_cell_length_b 4.615
_cell_length_c 2.620
_cell_angle_alpha 89.99
_cell_angle_beta 89.99
_cell_angle_gamma 113.16
_space_group_name_H-M_alt 'P 1'
_space_group_IT_number 1
loop_
_space_group_symop_operation_xyz
'x,y,z'
loop_
_atom_site_label
_atom_site_fract_x
_atom_site_fract_y
_atom_site_fract_z
_atom_site_occupancy
Zn1 0.000 0.500 0.500 1
Cr1 0.000 0.000 0.000 1
Cr2 0.500 0.500 0.000 1
Ru1 0.500 0.000 0.500 1
```

Results
crystal system: orthorhombic
energy of formation from the pure elements: 0.9 eV per formula unit
magnetic moment: 0.0 μB/cell
final energy: -28.9 eV/cell

# 3
# Os2C

A relaxed Os2C crystal (GGA-PBE, the Alexandria database).

CIF file:
```
data_Os2C
_chemical_formula_sum 'Os2 C1'
_cell_length_a 3.739
_cell_length_b 3.739
_cell_length_c 3.739
_cell_angle_alpha 60.00
_cell_angle_beta 60.00
_cell_angle_gamma 60.00
_space_group_name_H-M_alt 'P 1'
_space_group_IT_number 1
loop_
_space_group_symop_operation_xyz
'x,y,z'
loop_
_atom_site_label
_atom_site_fract_x
_atom_site_fract_y
_atom_site_fract_z
_atom_site_occupancy
Os1 0.250 0.250 0.250 1
Os2 0.750 0.750 0.750 1
C1 0.000 0.000 0.000 1
```

Results
polymorph energy (0 for the lowest one): 861.8 meV per atom
crystal system: cubic
energy of formation from the pure elements: 4.1 eV per formula unit
magnetic moment: 0.0 μB/cell
final energy: -27.6 eV/cell

# 4
# NdAg6Hg6

A relaxed NdAg6Hg6 crystal (GGA-PBE, the Alexandria database).

CIF file:
```
data_NdAg6Hg6
_chemical_formula_sum 'Nd1 Ag6 Hg6'
_cell_length_a 5.659
_cell_length_b 7.601
_cell_length_c 7.601
_cell_angle_alpha 80.82
_cell_angle_beta 68.15
_cell_angle_gamma 68.15
_space_group_name_H-M_alt 'P 1'
_space_group_IT_number 1
loop_
_space_group_symop_operation_xyz
'x,y,z'
loop_
_atom_site_label
_atom_site_fract_x
_atom_site_fract_y
_atom_site_fract_z
_atom_site_occupancy
Hg1 0.326 0.174 0.174 1
Hg2 0.000 0.656 0.344 1
Hg3 0.339 0.661 0.661 1
Hg4 0.000 0.344 0.656 1
Ag1 0.500 0.500 0.000 1
Hg5 0.674 0.826 0.826 1
Ag2 0.500 0.760 0.240 1
Nd1 0.000 0.000 0.000 1
Ag3 0.500 0.240 0.760 1
Ag4 0.000 0.500 0.000 1
Ag5 0.000 0.000 0.500 1
Ag6 0.500 0.000 0.500 1
Hg6 0.661 0.339 0.339 1
```

Results
crystal system: orthorhombic
energy of formation from the pure elements: -0.9 eV per formula unit
magnetic moment: 0.0 μB/cell
final energy: -24.6 eV/cell

# 5
# Dy5Ho2Tm5

A relaxed Dy5Ho2Tm5 crystal (GGA-PBE, the Alexandria database).

CIF file:
```
data_Dy5Ho2Tm5
_chemical_formula_sum 'Dy5 Ho2 Tm5'
_cell_length_a 5.538
_cell_length_b 6.527
_cell_length_c 11.754
_cell_angle_alpha 74.36
_cell_angle_beta 76.37
_cell_angle_gamma 64.90
_space_group_name_H-M_alt 'P 1'
_space_group_IT_number 1
loop_
_space_group_symop_operation_xyz
'x,y,z'
loop_
_atom_site_label
_atom_site_fract_x
_atom_site_fract_y
_atom_site_fract_z
_atom_site_occupancy
Dy1 0.500 0.500 0.500 1
Tm1 0.750 0.248 0.252 1
Ho1 0.044 0.617 0.294 1
Tm2 0.789 0.884 0.539 1
Dy2 0.286 0.391 0.036 1
Dy3 0.714 0.609 0.964 1
Tm3 0.211 0.116 0.461 1
Ho2 0.956 0.383 0.706 1
Dy4 0.453 0.891 0.204 1
Tm4 0.000 0.000 0.000 1
Tm5 0.250 0.752 0.748 1
Dy5 0.547 0.109 0.796 1
```

Results
polymorph energy (0 for the lowest one): 51.1 meV per atom
crystal system: monoclinic
energy of formation from the pure elements: 0.9 eV per formula unit
magnetic moment: 0.0 μB/cell
final energy: -53.7 eV/cell

# 6
# NbTe4Ir

A relaxed NbTe4Ir crystal (GGA-PBE, the Alexandria database).

CIF file:
```
data_NbTe4Ir
_chemical_formula_sum 'Nb2 Te8 Ir2'
_cell_length_a 5.973
_cell_length_b 6.705
_cell_length_c 8.866
_cell_angle_alpha 112.86
_cell_angle_beta 110.39
_cell_angle_gamma 88.25
_space_group_name_H-M_alt 'P 1'
_space_group_IT_number 1
loop_
_space_group_symop_operation_xyz
'x,y,z'
loop_
_atom_site_label
_atom_site_fract_x
_atom_site_fract_y
_atom_site_fract_z
_atom_site_occupancy
Te1 0.389 0.143 0.883 1
Te2 0.611 0.857 0.117 1
Ir1 0.062 0.812 0.624 1
Te3 0.005 0.259 0.117 1
Te4 0.780 0.123 0.605 1
Te5 0.325 0.482 0.605 1
Te6 0.675 0.518 0.395 1
Te7 0.220 0.877 0.395 1
Nb1 0.296 0.546 0.092 1
Te8 0.995 0.741 0.883 1
Nb2 0.704 0.454 0.908 1
Ir2 0.938 0.188 0.376 1
```

Results
polymorph energy (0 for the lowest one): 185.3 meV per atom
crystal system: monoclinic
magnetic moment: 0.0 μB/cell
E_form (uncorrected): -0.22 eV/atom
final energy: -65.6 eV/cell

# 7
# ZrTi2Zn4

A relaxed ZrTi2Zn4 crystal (GGA-PBE, the Alexandria database).

CIF file:
```
data_ZrTi2Zn4
_chemical_formula_sum 'Zr1 Ti2 Zn4'
_cell_length_a 3.897
_cell_length_b 3.897
_cell_length_c 8.643
_cell_angle_alpha 103.03
_cell_angle_beta 103.03
_cell_angle_gamma 90.00
_space_group_name_H-M_alt 'P 1'
_space_group_IT_number 1
loop_
_space_group_symop_operation_xyz
'x,y,z'
loop_
_atom_site_label
_atom_site_fract_x
_atom_site_fract_y
_atom_site_fract_z
_atom_site_occupancy
Zn1 0.372 0.872 0.745 1
Ti1 0.250 0.250 0.500 1
Ti2 0.750 0.750 0.500 1
Zn2 0.628 0.128 0.255 1
Zn3 0.128 0.628 0.255 1
Zr1 0.000 0.000 0.000 1
Zn4 0.872 0.372 0.745 1
```

Results
crystal system: tetragonal
energy of formation from the pure elements: 0.2 eV per formula unit
magnetic moment: 0.0 μB/cell
final energy: -29.2 eV/cell

# 8
# Ta2ReW

A relaxed Ta2ReW crystal (GGA-PBE, the Alexandria database).

CIF file:
```
data_Ta2ReW
_chemical_formula_sum 'Ta2 Re1 W1'
_cell_length_a 3.211
_cell_length_b 3.211
_cell_length_c 6.512
_cell_angle_alpha 90.00
_cell_angle_beta 90.00
_cell_angle_gamma 90.00
_space_group_name_H-M_alt 'P 1'
_space_group_IT_number 1
loop_
_space_group_symop_operation_xyz
'x,y,z'
loop_
_atom_site_label
_atom_site_fract_x
_atom_site_fract_y
_atom_site_fract_z
_atom_site_occupancy
Ta1 0.000 0.000 0.993 1
W1 0.000 0.000 0.507 1
Re1 0.500 0.500 0.745 1
Ta2 0.500 0.500 0.255 1
```

Results
crystal system: tetragonal
energy of formation from the pure elements: -0.7 eV per formula unit
magnetic moment: 0.0 μB/cell
final energy: -49.8 eV/cell

> What is the formula in the fourth record?

NdAg6Hg6

> What is the formula in the first record?

Na2HgTeS